DFT (PBE) results for a relaxed structure of EuYInIr.

Lattice parameters (Å, degrees): 5.1398 5.1398 5.1398 60.00 60.00 60.00
Closest atoms and distances in Å follow each position.
Element x y z (fractional)
Eu 0.0000 0.0000 0.0000  4 In 3.15, 4 Ir 3.15
Y 0.5000 0.5000 0.5000  4 Ir 3.15, 4 In 3.15
In 0.2500 0.2500 0.2500  4 Y 3.15, 4 Eu 3.15
Ir 0.7500 0.7500 0.7500  4 Eu 3.15, 4 Y 3.15

Summary:
DFT formation energy = -0.394 eV per atom
V = 24.00 Å³ per atom
E_tot = -29.915 eV/f.u.
DOS at the Fermi energy = 1.83 states/eV/atom
Space-group type = No. 216
Size of the total moment = 6.84 μB/f.u.